Pu3CdPt2 | PBE | relaxed

Lattice parameters (Å, degrees): 4.6490 4.2491 6.9409 90.00 109.57 90.00
With the nearest neighbours (Å) after each atom.
Positions (direct):
Pt 0.1635 0.5000 0.3270  8 Pu 3.01-3.16, 2 Cd 3.01, 2 Pt 3.24
Cd 0.0000 0.0000 0.0000  4 Pt 3.01, 8 Pu 3.15-3.25
Pt 0.8365 0.5000 0.6730  8 Pu 3.01-3.16, 2 Cd 3.01, 2 Pt 3.24
Pu 0.6732 0.0000 0.3463  6 Pt 3.01-3.15, 4 Pu 3.07-3.11, 2 Cd 3.25
Pu 0.5000 0.5000 0.0000  4 Pu 3.11, 4 Cd 3.15, 4 Pt 3.16
Pu 0.3268 0.0000 0.6537  6 Pt 3.01-3.15, 4 Pu 3.07-3.11, 2 Cd 3.25

Density of states at the Fermi level ... 19.41 states/eV/f.u.
ρ ... 15.87 g cm⁻³
Space group ... Cmmm, No. 65
Calculated total energy ... -9.78 eV/atom
E_form ... -0.450 eV per atom
Energy above the most stable polymorph in this dataset ... 0.018 eV per atom